! Cd2CoSb PBE optimized geometry; values from VASP
! crystal system: tetragonal
! energy relative to the elements, uncorrected: 318 meV per atom
&SYSTEM
  ibrav = 0, nat = 4, ntyp = 3
/
ATOMIC_SPECIES
Cd 112.41 Cd.upf
Co 58.93 Co.upf
Sb 121.76 Sb.upf
ATOMIC_POSITIONS crystal
Cd 0.250 0.750 0.500
Cd 0.750 0.250 0.500
Co 0.000 0.000 0.000
Sb 0.500 0.500 0.000
CELL_PARAMETERS angstrom
-2.044 2.044 4.666
2.044 -2.044 4.666
2.044 2.044 -4.666

=====

! BaHf3Tl PBE optimized geometry; values from VASP
! crystal system: cubic
! formation energy from the elements: 9.893 eV per formula unit
&SYSTEM
  ibrav = 0, nat = 5, ntyp = 3
/
ATOMIC_SPECIES
Ba 137.33 Ba.upf
Hf 178.49 Hf.upf
Tl 204.38 Tl.upf
ATOMIC_POSITIONS crystal
Ba 0.000 0.000 0.000
Hf 0.000 0.000 0.500
Hf 0.000 0.500 0.000
Hf 0.500 0.000 0.000
Tl 0.500 0.500 0.500
CELL_PARAMETERS angstrom
5.348 0.000 0.000
0.000 5.348 0.000
0.000 0.000 5.348

=====

! NaGa7Ag12 PBE optimized geometry; values from VASP
! crystal system: cubic
! formation energy from the elements: 4.418 eV per formula unit
&SYSTEM
  ibrav = 0, nat = 20, ntyp = 3
/
ATOMIC_SPECIES
Na 22.99 Na.upf
Ga 69.72 Ga.upf
Ag 107.87 Ag.upf
ATOMIC_POSITIONS crystal
Na 0.000 0.000 0.000
Ga 0.000 0.000 0.500
Ga 0.000 0.500 0.000
Ga 0.000 0.500 0.500
Ga 0.500 0.000 0.000
Ga 0.500 0.000 0.500
Ga 0.500 0.500 0.000
Ga 0.500 0.500 0.500
Ag 0.115 0.847 0.267
Ag 0.153 0.267 0.420
Ag 0.153 0.733 0.885
Ag 0.267 0.115 0.847
Ag 0.267 0.420 0.153
Ag 0.420 0.153 0.267
Ag 0.580 0.847 0.733
Ag 0.733 0.580 0.847
Ag 0.733 0.885 0.153
Ag 0.847 0.267 0.115
Ag 0.847 0.733 0.580
Ag 0.885 0.153 0.733
CELL_PARAMETERS angstrom
-4.811 4.811 4.811
4.811 -4.811 4.811
4.811 4.811 -4.811

=====

! Nd4HoBi2 PBE optimized geometry; values from VASP
! crystal system: tetragonal
! formation energy from the elements: 1.086 eV per formula unit
&SYSTEM
  ibrav = 0, nat = 7, ntyp = 3
/
ATOMIC_SPECIES
Nd 144.24 Nd.upf
Ho 164.93 Ho.upf
Bi 208.98 Bi.upf
ATOMIC_POSITIONS crystal
Nd 0.000 0.500 0.500
Nd 0.182 0.182 0.000
Nd 0.500 0.000 0.500
Nd 0.818 0.818 0.000
Ho 0.000 0.000 0.000
Bi 0.366 0.366 0.000
Bi 0.634 0.634 0.000
CELL_PARAMETERS angstrom
-2.737 2.737 8.645
2.737 -2.737 8.645
2.737 2.737 -8.645

=====

! La4Pm3Nd5 PBE optimized geometry; values from VASP
! crystal system: monoclinic
! formation energy from the elements: 2.219 eV per formula unit
&SYSTEM
  ibrav = 0, nat = 12, ntyp = 3
/
ATOMIC_SPECIES
La 138.91 La.upf
Pm 145.00 Pm.upf
Nd 144.24 Nd.upf
ATOMIC_POSITIONS crystal
La 0.083 0.083 0.439
La 0.214 0.214 0.878
La 0.786 0.786 0.122
La 0.917 0.917 0.561
Pm 0.208 0.208 0.225
Pm 0.500 0.500 0.000
Pm 0.792 0.792 0.775
Nd 0.000 0.000 0.000
Nd 0.329 0.329 0.609
Nd 0.426 0.426 0.301
Nd 0.574 0.574 0.699
Nd 0.671 0.671 0.391
CELL_PARAMETERS angstrom
8.301 -3.070 0.000
8.301 3.070 0.000
-4.234 0.000 8.567

=====

! Pr6TlSb2Te3 PBE optimized geometry; values from VASP
! crystal system: monoclinic
! energy relative to the elements, uncorrected: -1207 meV per atom
&SYSTEM
  ibrav = 0, nat = 12, ntyp = 4
/
ATOMIC_SPECIES
Pr 140.91 Pr.upf
Tl 204.38 Tl.upf
Sb 121.76 Sb.upf
Te 127.60 Te.upf
ATOMIC_POSITIONS crystal
Pr 0.001 0.001 0.248
Pr 0.331 0.331 0.422
Pr 0.335 0.335 0.913
Pr 0.665 0.665 0.087
Pr 0.669 0.669 0.578
Pr 0.999 0.999 0.752
Tl 0.500 0.500 0.000
Sb 0.167 0.167 0.333
Sb 0.833 0.833 0.667
Te 0.168 0.168 0.833
Te 0.500 0.500 0.500
Te 0.832 0.832 0.167
CELL_PARAMETERS angstrom
9.934 -2.262 0.000
9.934 2.262 0.000
-2.122 0.000 8.922

=====

! SbTeAs3 PBE optimized geometry; values from VASP
! crystal system: cubic
! energy relative to the elements, uncorrected: 939 meV per atom
&SYSTEM
  ibrav = 0, nat = 5, ntyp = 3
/
ATOMIC_SPECIES
Sb 121.76 Sb.upf
Te 127.60 Te.upf
As 74.92 As.upf
ATOMIC_POSITIONS crystal
Sb 0.000 0.000 0.000
Te 0.500 0.500 0.500
As 0.000 0.000 0.500
As 0.000 0.500 0.000
As 0.500 0.000 0.000
CELL_PARAMETERS angstrom
5.270 0.000 0.000
0.000 5.270 0.000
0.000 0.000 5.270

=====

! BeOsBr2 PBE optimized geometry; values from VASP
! crystal system: orthorhombic
! energy relative to the elements, uncorrected: 1206 meV per atom
&SYSTEM
  ibrav = 0, nat = 4, ntyp = 3
/
ATOMIC_SPECIES
Be 9.01 Be.upf
Os 190.23 Os.upf
Br 79.90 Br.upf
ATOMIC_POSITIONS crystal
Be 0.000 0.000 0.000
Os 0.500 0.000 0.500
Br 0.000 0.500 0.500
Br 0.500 0.500 0.000
CELL_PARAMETERS angstrom
3.033 0.000 0.000
0.000 4.183 0.000
0.000 0.000 5.880

=====

! Dy11In9Hg4 PBE optimized geometry; values from VASP
! crystal system: orthorhombic
! formation energy from the elements: -10.849 eV per formula unit
&SYSTEM
  ibrav = 0, nat = 24, ntyp = 3
/
ATOMIC_SPECIES
Dy 162.50 Dy.upf
In 114.82 In.upf
Hg 200.59 Hg.upf
ATOMIC_POSITIONS crystal
Dy 0.000 0.000 0.000
Dy 0.059 0.410 0.000
Dy 0.161 0.839 0.000
Dy 0.287 0.287 0.000
Dy 0.361 0.639 0.000
Dy 0.410 0.059 0.000
Dy 0.590 0.941 0.000
Dy 0.639 0.361 0.000
Dy 0.713 0.713 0.000
Dy 0.839 0.161 0.000
Dy 0.941 0.590 0.000
In 0.059 0.211 0.500
In 0.153 0.633 0.500
In 0.211 0.059 0.500
In 0.367 0.847 0.500
In 0.500 0.500 0.500
In 0.633 0.153 0.500
In 0.789 0.941 0.500
In 0.847 0.367 0.500
In 0.941 0.789 0.500
Hg 0.250 0.448 0.500
Hg 0.448 0.250 0.500
Hg 0.552 0.750 0.500
Hg 0.750 0.552 0.500
CELL_PARAMETERS angstrom
7.460 -11.274 0.000
7.460 11.274 0.000
0.000 0.000 3.739

=====

! Ti6BH2 PBE optimized geometry; values from VASP
! crystal system: monoclinic
! E: -62.7 eV per cell
&SYSTEM
  ibrav = 0, nat = 9, ntyp = 3
/
ATOMIC_SPECIES
Ti 47.87 Ti.upf
B 10.81 B.upf
H 1.01 H.upf
ATOMIC_POSITIONS crystal
Ti 0.003 0.003 0.263
Ti 0.333 0.333 0.910
Ti 0.337 0.337 0.432
Ti 0.663 0.663 0.568
Ti 0.667 0.667 0.090
Ti 0.997 0.997 0.737
B 0.000 0.000 0.000
H 0.167 0.167 0.699
H 0.833 0.833 0.301
CELL_PARAMETERS angstrom
5.028 -1.550 0.000
5.028 1.550 0.000
-3.454 0.000 7.646

=====

! TbNb2S PBE optimized geometry; values from VASP
! crystal system: trigonal
! energy relative to the elements, uncorrected: 82 meV per atom
&SYSTEM
  ibrav = 0, nat = 4, ntyp = 3
/
ATOMIC_SPECIES
Tb 158.93 Tb.upf
Nb 92.91 Nb.upf
S 32.06 S.upf
ATOMIC_POSITIONS crystal
Tb 0.000 0.000 0.000
Nb 0.114 0.114 0.114
Nb 0.886 0.886 0.886
S 0.500 0.500 0.500
CELL_PARAMETERS angstrom
1.735 1.002 8.435
-1.735 1.002 8.435
0.000 -2.004 8.435

=====

! KSc2Cd PBE optimized geometry; values from VASP
! crystal system: tetragonal
! formation energy from the elements: 1.923 eV per formula unit
&SYSTEM
  ibrav = 0, nat = 4, ntyp = 3
/
ATOMIC_SPECIES
K 39.10 K.upf
Sc 44.96 Sc.upf
Cd 112.41 Cd.upf
ATOMIC_POSITIONS crystal
K 0.000 0.000 0.000
Sc 0.250 0.750 0.500
Sc 0.500 0.500 0.000
Cd 0.750 0.250 0.500
CELL_PARAMETERS angstrom
-2.401 2.401 4.832
2.401 -2.401 4.832
2.401 2.401 -4.832

=====

Spin magnetization across the listed records, respectively: 1.0 0.0 0.0 0.0 0.0 0.0 0.0 0.0 0.0 0.0 0.0 0.0 Bohr magnetons per cell.